No. 1
VASP calculation (GGA-PBE) on a geometry-optimized CrS2N structure.

Structure (CIF):
```
data_CrS2N
_chemical_formula_sum 'Cr4 S8 N4'
_cell_length_a 4.927
_cell_length_b 4.927
_cell_length_c 9.627
_cell_angle_alpha 90.00
_cell_angle_beta 90.00
_cell_angle_gamma 90.00
_symmetry_space_group_name_H-M 'I -4 2 d'
_symmetry_Int_Tables_number 122
_symmetry_space_group_name_Hall 'I -4 2bw'
loop_
_atom_site_label
_atom_site_type_symbol
_atom_site_fract_x
_atom_site_fract_y
_atom_site_fract_z
Cr1 Cr 0.000 0.000 0.000
S1 S 0.237 0.250 0.625
N1 N 0.000 0.000 0.500
```

Properties
- E_tot: -5.76 eV per atom

No. 2
VASP calculation (GGA-PBE) on a geometry-optimized Li2Tc2Rh structure.

Structure (CIF):
```
data_Li2Tc2Rh
_chemical_formula_sum 'Li4 Tc4 Rh2'
_cell_length_a 3.279
_cell_length_b 3.279
_cell_length_c 14.117
_cell_angle_alpha 90.00
_cell_angle_beta 90.00
_cell_angle_gamma 90.00
_symmetry_space_group_name_H-M 'I 4/m m m'
_symmetry_Int_Tables_number 139
_symmetry_space_group_name_Hall '-I 4 2'
loop_
_atom_site_label
_atom_site_type_symbol
_atom_site_fract_x
_atom_site_fract_y
_atom_site_fract_z
Li1 Li 0.000 0.500 0.250
Tc1 Tc 0.000 0.000 0.087
Rh1 Rh 0.000 0.000 0.500
```

Properties
- Energy above the most stable polymorph in this dataset: 189.2 meV/atom
- E_form: 694.2 meV per atom

No. 3
VASP calculation (GGA-PBE) on a geometry-optimized Y3Mo structure.

Structure (CIF):
```
data_Y3Mo
_chemical_formula_sum 'Y6 Mo2'
_cell_length_a 4.824
_cell_length_b 4.824
_cell_length_c 8.858
_cell_angle_alpha 90.00
_cell_angle_beta 90.00
_cell_angle_gamma 90.00
_symmetry_space_group_name_H-M 'I 4/m m m'
_symmetry_Int_Tables_number 139
_symmetry_space_group_name_Hall '-I 4 2'
loop_
_atom_site_label
_atom_site_type_symbol
_atom_site_fract_x
_atom_site_fract_y
_atom_site_fract_z
Y1 Y 0.000 0.000 0.000
Y2 Y 0.000 0.500 0.250
Mo1 Mo 0.000 0.000 0.500
```

Properties
- Energy above the most stable polymorph in this dataset: 205.9 meV/atom
- E_form: 381.7 meV per atom

No. 4
VASP calculation (GGA-PBE) on a geometry-optimized AcPmLuGa structure.

Structure (CIF):
```
data_AcPmLuGa
_chemical_formula_sum 'Ac4 Pm4 Lu4 Ga4'
_cell_length_a 7.767
_cell_length_b 7.767
_cell_length_c 7.767
_cell_angle_alpha 90.00
_cell_angle_beta 90.00
_cell_angle_gamma 90.00
_symmetry_space_group_name_H-M 'F -4 3 m'
_symmetry_Int_Tables_number 216
_symmetry_space_group_name_Hall 'F -4 2 3'
loop_
_atom_site_label
_atom_site_type_symbol
_atom_site_fract_x
_atom_site_fract_y
_atom_site_fract_z
Ac1 Ac 0.000 0.000 0.000
Pm1 Pm 0.250 0.250 0.750
Lu1 Lu 0.250 0.250 0.250
Ga1 Ga 0.000 0.000 0.500
```

Properties
- E_form: 60.5 meV per atom

No. 5
VASP calculation (GGA-PBE) on a geometry-optimized AlTl2Fe structure.

Structure (CIF):
```
data_AlTl2Fe
_chemical_formula_sum 'Al2 Tl4 Fe2'
_cell_length_a 4.192
_cell_length_b 4.192
_cell_length_c 9.489
_cell_angle_alpha 90.00
_cell_angle_beta 90.00
_cell_angle_gamma 90.00
_symmetry_space_group_name_H-M 'I -4 m 2'
_symmetry_Int_Tables_number 119
_symmetry_space_group_name_Hall 'I -4 -2'
loop_
_atom_site_label
_atom_site_type_symbol
_atom_site_fract_x
_atom_site_fract_y
_atom_site_fract_z
Al1 Al 0.000 0.000 0.000
Tl1 Tl 0.000 0.000 0.500
Tl2 Tl 0.000 0.500 0.250
Fe1 Fe 0.000 0.500 0.750
```

Properties
- Energy above the most stable polymorph in this dataset: 279.3 meV/atom
- E_form: 548.8 meV per atom

No. 6
VASP calculation (GGA-PBE) on a geometry-optimized ZrSiNF2 structure.

Structure (CIF):
```
data_ZrSiNF2
_chemical_formula_sum 'Zr1 Si1 N1 F2'
_cell_length_a 4.228
_cell_length_b 4.228
_cell_length_c 4.279
_cell_angle_alpha 90.00
_cell_angle_beta 90.00
_cell_angle_gamma 90.00
_symmetry_space_group_name_H-M 'P 4/m m m'
_symmetry_Int_Tables_number 123
_symmetry_space_group_name_Hall '-P 4 2'
loop_
_atom_site_label
_atom_site_type_symbol
_atom_site_fract_x
_atom_site_fract_y
_atom_site_fract_z
Zr1 Zr 0.000 0.000 0.000
Si1 Si 0.500 0.500 0.500
N1 N 0.000 0.000 0.500
F1 F 0.000 0.500 0.000
```

Properties
- Energy above the most stable polymorph in this dataset: 0.0 meV/atom

No. 7
VASP calculation (GGA-PBE) on a geometry-optimized Ga2Os2Cl structure.

Structure (CIF):
```
data_Ga2Os2Cl
_chemical_formula_sum 'Ga4 Os4 Cl2'
_cell_length_a 5.004
_cell_length_b 5.004
_cell_length_c 7.644
_cell_angle_alpha 90.00
_cell_angle_beta 90.00
_cell_angle_gamma 90.00
_symmetry_space_group_name_H-M 'I 4/m m m'
_symmetry_Int_Tables_number 139
_symmetry_space_group_name_Hall '-I 4 2'
loop_
_atom_site_label
_atom_site_type_symbol
_atom_site_fract_x
_atom_site_fract_y
_atom_site_fract_z
Ga1 Ga 0.000 0.500 0.250
Os1 Os 0.000 0.000 0.148
Cl1 Cl 0.000 0.000 0.500
```

Properties
- Energy above the most stable polymorph in this dataset: 122.6 meV/atom

No. 8
VASP calculation (GGA-PBE) on a geometry-optimized HoTm2Al3 structure.

Structure (CIF):
```
data_HoTm2Al3
_chemical_formula_sum 'Ho2 Tm4 Al6'
_cell_length_a 5.900
_cell_length_b 10.278
_cell_length_c 4.963
_cell_angle_alpha 90.00
_cell_angle_beta 90.00
_cell_angle_gamma 90.00
_symmetry_space_group_name_H-M 'C m m m'
_symmetry_Int_Tables_number 65
_symmetry_space_group_name_Hall '-C 2 2'
loop_
_atom_site_label
_atom_site_type_symbol
_atom_site_fract_x
_atom_site_fract_y
_atom_site_fract_z
Ho1 Ho 0.000 0.000 0.000
Tm1 Tm 0.000 0.334 0.000
Al1 Al 0.000 0.500 0.500
Al2 Al 0.250 0.250 0.500
```

Properties
- Energy above the most stable polymorph in this dataset: 259.3 meV/atom
- E_form: -131.9 meV per atom

| no. | size of the total moment (μB/cell) |
| --- | --- |
| 1 | 0.00 |
| 2 | 1.61 |
| 3 | 0.32 |
| 4 | 0.06 |
| 5 | 5.72 |
| 6 | 0.00 |
| 7 | 1.98 |
| 8 | 0.00 |